[1]
This record from Alexandria via LeMat-Bulk describes crystalline Sm3Pu2PaAs6 at its relaxed geometry. The functional is PBE.

The space group is C2/m (No. 12) and the conventional cell measures 7.223, 12.508 and 7.224 Å, with angles of 90.00, 109.46 and 90.00 degrees. The distinct sites, in fractional coordinates, are Sm at (0.000, 0.000, 0.000), Sm at (0.000, 0.332, 0.000), Pu at (0.000, 0.166, 0.500), Pa at (0.000, 0.500, 0.500), As at (0.245, 0.336, 0.742) and As at (0.248, 0.500, 0.258).

Its total energy is -191.55 eV for the cell shown. The value obtained for the formation enthalpy at 0 K is -1.30 eV/atom.



[2]
This record from Alexandria via LeMat-Bulk describes crystalline SmPu2PaAs4 at its relaxed geometry. The functional is PBE.

The space group is P2/m (No. 10) and the conventional cell measures 7.162, 4.159 and 7.197 Å, with angles of 90.00, 109.55 and 90.00 degrees. The distinct sites, in fractional coordinates, are Sm at (0.000, 0.000, 0.000), Pu at (0.500, 0.000, 0.500), Pu at (0.500, 0.500, 0.000), Pa at (0.000, 0.500, 0.500), As at (0.247, 0.000, 0.744) and As at (0.252, 0.500, 0.257).

Its total energy is -70.90 eV for the cell shown. The value obtained for the formation enthalpy at 0 K is -1.18 eV/atom.